Material: La4W2O
Method: DFT, PBE+U
State: relaxed

abc: 4.9679 4.9679 16.3710
angles: 90.00 90.00 90.00
Sites, in units of the cell vectors:
La1 0.0000 0.0000 0.1704
La2 0.0000 0.0000 0.8296
La3 0.0000 0.5000 0.0000
La4 0.0000 0.5000 0.5000
La5 0.5000 0.0000 0.0000
La6 0.5000 0.0000 0.5000
La7 0.5000 0.5000 0.3296
La8 0.5000 0.5000 0.6704
W1 0.0000 0.0000 0.3653
W2 0.0000 0.0000 0.6347
W3 0.5000 0.5000 0.1347
W4 0.5000 0.5000 0.8653
O1 0.0000 0.0000 0.0000
O2 0.5000 0.5000 0.5000

Values from the calculation:
Volume   28.9 Å³/atom
Magnetization   14.36 μB per cell
E   -5.745 eV per atom
Crystal system   tetragonal